Record 1
# PBE BaTlIn, relaxed
data_BaTlIn
_chemical_formula_sum 'Ba2 Tl2 In2'
_space_group_name_H-M_alt 'P 1 2/m 1'
_space_group_IT_number 10
_space_group_name_Hall '-P 2y'
_cell_length_a 4.350
_cell_length_b 5.313
_cell_length_c 9.241
_cell_angle_alpha 90.00
_cell_angle_beta 90.10
_cell_angle_gamma 90.00
loop_
_atom_site_label
_atom_site_fract_x
_atom_site_fract_y
_atom_site_fract_z
Ba1 0.000 0.000 0.000
Ba2 0.000 0.500 0.500
Tl1 0.434 0.000 0.331
In1 0.458 0.500 0.836
# V: 35.59 Å³ per atom
# spin magnetization: 0.000 μB/cell
# calculated formation energy: -0.368 eV/atom



Record 2
# PBE BaTl2In4, relaxed
data_BaTl2In4
_chemical_formula_sum 'Ba2 Tl4 In8'
_space_group_name_H-M_alt 'C m m m'
_space_group_IT_number 65
_space_group_name_Hall '-C 2 2'
_cell_length_a 5.553
_cell_length_b 16.772
_cell_length_c 4.819
_cell_angle_alpha 90.00
_cell_angle_beta 90.00
_cell_angle_gamma 90.00
loop_
_atom_site_label
_atom_site_fract_x
_atom_site_fract_y
_atom_site_fract_z
Ba1 0.000 0.000 0.000
Tl1 0.000 0.409 0.500
In1 0.000 0.182 0.500
In2 0.000 0.295 0.000
# V: 32.06 Å³ per atom
# spin magnetization: 0.000 μB/cell
# calculated formation energy: -0.157 eV/atom